(1)
The following is a PBE calculation of a relaxed TbHfMg crystal, from the Alexandria database.

Cell lengths 3.2898, 3.2898, 8.2098 Å; angles 90.00, 90.00, 120.00 degrees
Fractional positions:
1 Hf 0.6667 0.3333 0.3336
2 Mg 0.0000 0.0000 0.0142
3 Tb 0.3333 0.6667 0.6521

Values from the calculation:
As for the relative energy among the computed polymorphs: 5.35 kJ/mol of atoms. The calculation puts the spin magnetization at 0.000 μB/atom. Its formation energy is 0.110 eV per atom.

=====

(2)
The following is a PBE calculation of a relaxed Al2FeIrPd crystal, from the Alexandria database.

Cell lengths 4.6167, 4.7495, 4.6167 Å; angles 90.00, 90.00, 90.00 degrees
Each line ends with the local moment (μB).
Fractional positions:
1 Ir 0.0000 0.0000 0.0000  0.18
2 Fe 0.0000 0.5000 0.0000  3.26
3 Al 0.5000 0.0000 0.0000  0.01
4 Al 0.0000 0.0000 0.5000  0.01
5 Pd 0.5000 0.5000 0.5000  0.10

Values from the calculation:
The calculation puts the spin magnetization at 0.723 μB/atom. Its formation energy is 0.330 eV per atom.

=====

(3)
The following is a PBE calculation of a relaxed Er2FeSi4Pt3 crystal, from the Alexandria database.

Cell lengths 4.0591, 4.0591, 10.0674 Å; angles 90.00, 90.00, 90.00 degrees
Fractional positions:
1 Si 0.5000 0.5000 0.0000
2 Si 0.0000 0.5000 0.3728
3 Si 0.5000 0.0000 0.6272
4 Si 0.0000 0.0000 0.0000
5 Fe 0.5000 0.5000 0.5000
6 Pt 0.5000 0.0000 0.8667
7 Pt 0.0000 0.5000 0.1333
8 Pt 0.0000 0.0000 0.5000
9 Er 0.0000 0.5000 0.7448
10 Er 0.5000 0.0000 0.2552

Values from the calculation:
The calculation puts the spin magnetization at 0.000 μB/atom. As for the calculated total energy: -6.7273 eV/atom.

=====

Q: Which formula does entry 2 have?
A: Al2FeIrPd